1.
The following is a DFT calculation (PBE) of crystalline Co5Ni at its relaxed geometry.

**Symmetry**: F-43m

Unit cell a=4.610 b=4.610 c=4.610 alpha=60.00 beta=60.00 gamma=60.00
Fractional coordinates of all 6 atoms:
Co1 0.000 0.000 0.000
Co2 0.375 0.375 0.375
Co3 0.375 0.375 0.875
Co4 0.375 0.875 0.375
Co5 0.875 0.375 0.375
Ni1 0.750 0.750 0.750



2.
The following is a DFT calculation (PBE) of crystalline Co2Ni3 at its relaxed geometry.

**Symmetry**: Fdd2

Unit cell a=6.427 b=4.725 c=7.357 alpha=59.64 beta=39.37 gamma=81.00
Fractional coordinates of all 10 atoms:
Co1 0.277 0.723 0.318
Co2 0.568 0.932 0.527
Co3 0.723 0.277 0.682
Co4 0.932 0.568 0.973
Ni1 0.110 0.844 0.091
Ni2 0.159 0.295 0.140
Ni3 0.295 0.159 0.406
Ni4 0.462 0.462 0.538
Ni5 0.712 0.712 0.788
Ni6 0.844 0.110 0.955



Distance to the lowest polymorph of the same formula list, top to bottom, in meV/atom: 227 81
DFT formation energy list, top to bottom, in eV/atom: 0.217 0.078
Energy list, top to bottom, in eV per atom: -6.668 -6.233